This record from the Alexandria database describes an optimized crystal structure of UMnGaO6. The functional is GGA+U.

Geometry as POSCAR:
```
UMnGaO6
1.0
5.259 0.000 0.000
-2.629 4.554 0.000
0.000 0.000 9.042
U Mn Ga O
2 2 2 12
direct
0.333 0.667 0.250
0.667 0.333 0.750
0.000 0.000 0.000
0.000 0.000 0.500
0.333 0.667 0.750
0.667 0.333 0.250
0.010 0.341 0.630
0.010 0.669 0.870
0.331 0.341 0.870
0.331 0.990 0.630
0.341 0.010 0.130
0.341 0.331 0.370
0.659 0.669 0.630
0.659 0.990 0.870
0.669 0.010 0.370
0.669 0.659 0.130
0.990 0.331 0.130
0.990 0.659 0.370
```

Computed properties:
Uncorrected energy: -0.5782 Ry per atom

***

This record from the Alexandria database describes an optimized crystal structure of CoBiF2. The functional is GGA+U.

Geometry as POSCAR:
```
CoBiF2
1.0
1.655 0.955 7.960
-1.655 0.955 7.960
0.000 -1.911 7.960
Co Bi F
1 1 2
direct
0.000 0.000 0.000
0.500 0.500 0.500
0.077 0.077 0.077
0.923 0.923 0.923
```

Computed properties:
Relative energy among the computed polymorphs: 351.6 meV/atom